Below is an optimized crystal structure of TlSbPdSe3, with properties calculated at the PBE level.

a = 8.2764 Å, b = 3.9911 Å, c = 10.6944 Å
α = 90.00°, β = 111.16°, γ = 90.00°
Sites, in units of the cell vectors:
1 Tl 0.2259 0.2500 0.2036
2 Tl 0.7741 0.7500 0.7964
3 Sb 0.1991 0.7500 0.6442
4 Sb 0.8009 0.2500 0.3558
5 Pd 0.3996 0.2500 0.8885
6 Pd 0.6004 0.7500 0.1115
7 Se 0.0640 0.7500 0.3688
8 Se 0.2816 0.7500 0.9736
9 Se 0.4536 0.2500 0.6641
10 Se 0.5464 0.7500 0.3359
11 Se 0.7184 0.2500 0.0264
12 Se 0.9360 0.2500 0.6312

As for the space group: P2_1/m, No. 11. Its total DFT energy (no corrections) is -3.90 eV per atom.